Entry 1:
First-principles (PBE) data for LiPr3U3S8 after structural relaxation, as listed in Alexandria.

a = 7.8415 Å, b = 7.8415 Å, c = 19.9011 Å
α = 90.00°, β = 90.00°, γ = 120.00°
Space group R-3m (No. 166, hexagonal axes)
Inequivalent atoms, fractional coordinates:
Li1 0.0000 0.0000 0.0000 x3
Pr1 0.0000 0.5000 0.5000 x9
U1 0.0000 0.5000 0.0000 x9
S1 0.0000 0.0000 0.2547 x6
S2 0.0002 0.5001 0.2561 x18

As for the crystal system: trigonal. For the uncorrected energy, the calculation gives -7.19 eV per atom. The density of states at the Fermi level is 17.0 states/eV/f.u. As for the uncorrected formation energy: -24.70 eV/f.u.



Entry 2:
First-principles (PBE) data for LiPr2US5 after structural relaxation, as listed in Alexandria.

a = 3.987 Å, b = 16.624 Å, c = 12.005 Å
α = 90.00°, β = 90.00°, γ = 90.00°
Space group Cmc2_1 (No. 36)
Inequivalent atoms, fractional coordinates:
Li1 0.000 0.017 0.000 x4
Pr1 0.000 0.374 0.825 x4
Pr2 0.000 0.391 0.213 x4
U1 0.000 0.300 0.531 x4
S1 0.000 0.001 0.305 x4
S2 0.000 0.136 0.525 x4
S3 0.000 0.191 0.874 x4
S4 0.000 0.212 0.186 x4
S5 0.000 0.451 0.591 x4

As for the crystal system: orthorhombic. For the uncorrected energy, the calculation gives -6.53 eV per atom. The density of states at the Fermi level is 7.0 states/eV/f.u. As for the uncorrected formation energy: -15.37 eV/f.u.



Entry 3:
First-principles (PBE) data for LiPr2US6 after structural relaxation, as listed in Alexandria.

a = 6.627 Å, b = 7.286 Å, c = 11.477 Å
α = 90.00°, β = 122.48°, γ = 90.00°
Space group P2_1/c (No. 14)
Inequivalent atoms, fractional coordinates:
Li1 0.000 0.000 0.000 x2
Pr1 0.204 0.096 0.743 x4
U1 0.500 0.000 0.500 x2
S1 0.121 0.185 0.440 x4
S2 0.254 0.692 0.432 x4
S3 0.383 0.043 0.247 x4

As for the crystal system: monoclinic. For the uncorrected energy, the calculation gives -6.45 eV per atom. The density of states at the Fermi level is 0.5 states/eV/f.u. As for the uncorrected formation energy: -16.93 eV/f.u.



Entry 4:
First-principles (PBE) data for LiPrY4S8 after structural relaxation, as listed in Alexandria.

a = 8.0403 Å, b = 8.0403 Å, c = 20.0690 Å
α = 90.00°, β = 90.00°, γ = 120.00°
Space group R3m (No. 160, hexagonal axes)
Inequivalent atoms, fractional coordinates:
Li1 0.0000 0.0000 0.0000 x3
Pr1 0.0000 0.0000 0.6273 x3
Y1 0.0000 0.0000 0.2498 x3
Y2 0.1728 0.3456 0.4554 x9
S1 0.0000 0.0000 0.3822 x3
S2 0.0000 0.0000 0.8659 x3
S3 0.0127 0.5064 0.3788 x9
S4 0.1745 0.3490 0.2010 x9

As for the crystal system: trigonal. For the uncorrected energy, the calculation gives -6.63 eV per atom. The density of states at the Fermi level is 0.0 states/eV/f.u. As for the uncorrected formation energy: -27.31 eV/f.u.



Entry 5:
First-principles (PBE) data for LiPrY2S4 after structural relaxation, as listed in Alexandria.

a = 3.888 Å, b = 13.109 Å, c = 13.545 Å
α = 90.00°, β = 90.00°, γ = 90.00°
Space group Cmcm (No. 63)
Inequivalent atoms, fractional coordinates:
Li1 0.000 0.144 0.250 x4
Pr1 0.000 0.126 0.750 x4
Y1 0.000 0.366 0.558 x8
S1 0.000 0.000 0.000 x4
S2 0.000 0.271 0.123 x8
S3 0.000 0.459 0.750 x4

As for the crystal system: orthorhombic. For the uncorrected energy, the calculation gives -6.35 eV per atom. The density of states at the Fermi level is 4.1 states/eV/f.u. As for the uncorrected formation energy: -14.70 eV/f.u.



Entry 6:
First-principles (PBE) data for LiPr3Y2S6 after structural relaxation, as listed in Alexandria.

a = 6.875 Å, b = 11.947 Å, c = 6.982 Å
α = 90.00°, β = 109.29°, γ = 90.00°
Space group C2/m (No. 12)
Inequivalent atoms, fractional coordinates:
Li1 0.000 0.000 0.000 x2
Pr1 0.000 0.165 0.500 x4
Pr2 0.000 0.500 0.500 x2
Y1 0.000 0.334 0.000 x4
S1 0.241 0.164 0.231 x8
S2 0.249 0.500 0.228 x4

As for the crystal system: monoclinic. For the uncorrected energy, the calculation gives -6.45 eV per atom. The density of states at the Fermi level is 4.7 states/eV/f.u. As for the uncorrected formation energy: -23.47 eV/f.u.



Entry 7:
First-principles (PBE) data for LiPr2ZrS5 after structural relaxation, as listed in Alexandria.

a = 3.908 Å, b = 16.534 Å, c = 11.775 Å
α = 90.00°, β = 90.00°, γ = 90.00°
Space group Cmc2_1 (No. 36)
Inequivalent atoms, fractional coordinates:
Li1 0.000 0.046 0.000 x4
Pr1 0.000 0.370 0.849 x4
Pr2 0.000 0.391 0.233 x4
Zr1 0.000 0.304 0.556 x4
S1 0.000 0.005 0.319 x4
S2 0.000 0.143 0.545 x4
S3 0.000 0.189 0.903 x4
S4 0.000 0.215 0.208 x4
S5 0.000 0.448 0.603 x4

As for the crystal system: orthorhombic. For the uncorrected energy, the calculation gives -6.29 eV per atom. The density of states at the Fermi level is 1.6 states/eV/f.u. As for the uncorrected formation energy: -15.99 eV/f.u.



Entry 8:
First-principles (PBE) data for Li2Pr5Sb5 after structural relaxation, as listed in Alexandria.

a = 14.915 Å, b = 4.460 Å, c = 12.522 Å
α = 90.00°, β = 114.36°, γ = 90.00°
Space group C2/m (No. 12)
Inequivalent atoms, fractional coordinates:
Li1 0.069 0.000 0.284 x4
Pr1 0.000 0.500 0.000 x2
Pr2 0.156 0.500 0.525 x4
Pr3 0.222 0.500 0.843 x4
Sb1 0.000 0.000 0.500 x2
Sb2 0.106 0.000 0.912 x4
Sb3 0.190 0.500 0.285 x4

As for the crystal system: monoclinic. For the uncorrected energy, the calculation gives -4.90 eV per atom. The density of states at the Fermi level is 7.3 states/eV/f.u. As for the uncorrected formation energy: -10.48 eV/f.u.



Entry 9:
First-principles (PBE) data for LiPrSb2 after structural relaxation, as listed in Alexandria.

a = 3.991 Å, b = 3.991 Å, c = 6.592 Å
α = 90.00°, β = 90.00°, γ = 90.00°
Space group P4/mmm (No. 123)
Inequivalent atoms, fractional coordinates:
Li1 0.000 0.000 0.000 x1
Pr1 0.000 0.000 0.500 x1
Sb1 0.500 0.500 0.226 x2

As for the crystal system: tetragonal. For the uncorrected energy, the calculation gives -4.36 eV per atom. The density of states at the Fermi level is 2.5 states/eV/f.u. As for the uncorrected formation energy: -2.50 eV/f.u.



Entry 10:
First-principles (PBE) data for LiPrSb after structural relaxation, as listed in Alexandria.

a = 4.480 Å, b = 4.480 Å, c = 7.617 Å
α = 90.00°, β = 90.00°, γ = 90.00°
Space group P4/nmm (No. 129, origin choice 2)
Inequivalent atoms, fractional coordinates:
Li1 0.250 0.750 0.000 x2
Pr1 0.250 0.250 0.342 x2
Sb1 0.250 0.250 0.770 x2

As for the crystal system: tetragonal. For the uncorrected energy, the calculation gives -4.50 eV per atom. The density of states at the Fermi level is 1.5 states/eV/f.u. As for the uncorrected formation energy: -2.68 eV/f.u.



Entry 11:
First-principles (PBE) data for LiPrSb after structural relaxation, as listed in Alexandria.

a = 4.5382 Å, b = 4.5382 Å, c = 4.2813 Å
α = 90.00°, β = 90.00°, γ = 120.00°
Space group P-6m2 (No. 187)
Inequivalent atoms, fractional coordinates:
Li1 0.0000 0.0000 0.0000 x1
Pr1 0.6667 0.3333 0.5000 x1
Sb1 0.3333 0.6667 0.0000 x1

As for the crystal system: hexagonal. For the uncorrected energy, the calculation gives -4.47 eV per atom. The density of states at the Fermi level is 1.1 states/eV/f.u. As for the uncorrected formation energy: -2.58 eV/f.u.



Entry 12:
First-principles (PBE) data for LiPrSb2 after structural relaxation, as listed in Alexandria.

a = 4.9567 Å, b = 4.9567 Å, c = 15.2029 Å
α = 90.00°, β = 90.00°, γ = 120.00°
Space group R-3m (No. 166, hexagonal axes)
Inequivalent atoms, fractional coordinates:
Li1 0.0000 0.0000 0.0000 x3
Pr1 0.0000 0.0000 0.5000 x3
Sb1 0.0000 0.0000 0.2666 x6

As for the crystal system: trigonal. For the uncorrected energy, the calculation gives -4.33 eV per atom. The density of states at the Fermi level is 3.2 states/eV/f.u. As for the uncorrected formation energy: -2.40 eV/f.u.



Entry 13:
First-principles (PBE) data for LiPrSb after structural relaxation, as listed in Alexandria.

a = 4.7290 Å, b = 4.7290 Å, c = 7.7370 Å
α = 90.00°, β = 90.00°, γ = 120.00°
Space group P6_3/mmc (No. 194)
Inequivalent atoms, fractional coordinates:
Li1 0.3333 0.6667 0.2500 x2
Pr1 0.0000 0.0000 0.0000 x2
Sb1 0.3333 0.6667 0.7500 x2

As for the crystal system: hexagonal. For the uncorrected energy, the calculation gives -4.50 eV per atom. The density of states at the Fermi level is 1.2 states/eV/f.u. As for the uncorrected formation energy: -2.68 eV/f.u.



Entry 14:
First-principles (PBE) data for Li3Pr2Sb3 after structural relaxation, as listed in Alexandria.

a = 3.227 Å, b = 3.227 Å, c = 23.559 Å
α = 90.00°, β = 90.00°, γ = 90.00°
Space group P4/mmm (No. 123)
Inequivalent atoms, fractional coordinates:
Li1 0.000 0.000 0.000 x1
Li2 0.000 0.000 0.383 x2
Pr1 0.000 0.000 0.245 x2
Sb1 0.000 0.000 0.113 x2
Sb2 0.000 0.000 0.500 x1

As for the crystal system: tetragonal. For the uncorrected energy, the calculation gives -3.36 eV per atom. The density of states at the Fermi level is 5.3 states/eV/f.u. As for the uncorrected formation energy: 0.80 eV/f.u.



Entry 15:
First-principles (PBE) data for Li2PrSb after structural relaxation, as listed in Alexandria.

a = 6.922 Å, b = 6.922 Å, c = 6.922 Å
α = 90.00°, β = 90.00°, γ = 90.00°
Space group Fm-3m (No. 225)
Inequivalent atoms, fractional coordinates:
Li1 0.250 0.250 0.250 x8
Pr1 0.000 0.000 0.000 x4
Sb1 0.000 0.000 0.500 x4

As for the crystal system: cubic. For the uncorrected energy, the calculation gives -3.64 eV per atom. The density of states at the Fermi level is 3.2 states/eV/f.u. As for the uncorrected formation energy: -1.81 eV/f.u.



Entry 16:
First-principles (PBE) data for Li2Pr3Sb3 after structural relaxation, as listed in Alexandria.

a = 4.503 Å, b = 11.956 Å, c = 15.766 Å
α = 90.00°, β = 90.00°, γ = 90.00°
Space group Cmcm (No. 63)
Inequivalent atoms, fractional coordinates:
Li1 0.000 0.229 0.094 x8
Pr1 0.000 0.072 0.607 x8
Pr2 0.000 0.360 0.750 x4
Sb1 0.000 0.350 0.250 x4
Sb2 0.000 0.374 0.549 x8

As for the crystal system: orthorhombic. For the uncorrected energy, the calculation gives -4.74 eV per atom. The density of states at the Fermi level is 3.4 states/eV/f.u. As for the uncorrected formation energy: -7.36 eV/f.u.



Entry 17:
First-principles (PBE) data for LiPrSb after structural relaxation, as listed in Alexandria.

a = 6.708 Å, b = 6.708 Å, c = 6.708 Å
α = 90.00°, β = 90.00°, γ = 90.00°
Space group F-43m (No. 216)
Inequivalent atoms, fractional coordinates:
Li1 0.000 0.000 0.000 x4
Pr1 0.250 0.250 0.250 x4
Sb1 0.250 0.250 0.750 x4

As for the crystal system: cubic. For the uncorrected energy, the calculation gives -4.28 eV per atom. The density of states at the Fermi level is 0.7 states/eV/f.u. As for the uncorrected formation energy: -2.03 eV/f.u.



Entry 18:
First-principles (PBE) data for LiPrSb after structural relaxation, as listed in Alexandria.

a = 4.281 Å, b = 4.281 Å, c = 8.930 Å
α = 90.00°, β = 90.00°, γ = 90.00°
Space group I4mm (No. 107)
Inequivalent atoms, fractional coordinates:
Li1 0.000 0.000 0.000 x2
Pr1 0.000 0.000 0.338 x2
Sb1 0.000 0.000 0.691 x2

As for the crystal system: tetragonal. For the uncorrected energy, the calculation gives -4.14 eV per atom. The density of states at the Fermi level is 2.6 states/eV/f.u. As for the uncorrected formation energy: -1.62 eV/f.u.



Entry 19:
First-principles (PBE) data for LiPrSb2 after structural relaxation, as listed in Alexandria.

a = 4.919 Å, b = 4.919 Å, c = 4.364 Å
α = 90.00°, β = 90.00°, γ = 90.00°
Space group P4/mmm (No. 123)
Inequivalent atoms, fractional coordinates:
Li1 0.000 0.000 0.000 x1
Pr1 0.500 0.500 0.000 x1
Sb1 0.000 0.500 0.500 x2

As for the crystal system: tetragonal. For the uncorrected energy, the calculation gives -4.42 eV per atom. The density of states at the Fermi level is 2.1 states/eV/f.u. As for the uncorrected formation energy: -2.74 eV/f.u.



Entry 20:
First-principles (PBE) data for SrLiPrSb after structural relaxation, as listed in Alexandria.

a = 7.803 Å, b = 7.803 Å, c = 7.803 Å
α = 90.00°, β = 90.00°, γ = 90.00°
Space group F-43m (No. 216)
Inequivalent atoms, fractional coordinates:
Sr1 0.000 0.000 0.000 x4
Li1 0.250 0.250 0.750 x4
Pr1 0.000 0.000 0.500 x4
Sb1 0.250 0.250 0.250 x4

As for the crystal system: cubic. For the uncorrected energy, the calculation gives -3.58 eV per atom. The density of states at the Fermi level is 3.2 states/eV/f.u. As for the uncorrected formation energy: -1.82 eV/f.u.